# 1
{
  "formula": "ZnSnPb",
  "functional": "PBE",
  "state": "optimized geometry",
  "density_g_cm3": 8.59,
  "final_energy_ev_per_atom": -2.89,
  "lattice": [[-3.3341, 0.6374, -0.6863], [-0.8340, -0.8654, 3.2479], [2.8605, 6.1100, 0.5163]],
  "species": ["Pb", "Zn", "Sn"],
  "fractional_positions": [[0.0167, 0.0167, 0.0334], [0.6730, 0.6730, 0.3459], [0.3104, 0.3104, 0.6207]]
}



# 2
{
  "formula": "ZnSn2Pb2",
  "functional": "PBE",
  "state": "optimized geometry",
  "e_above_lowest_polymorph_mev_per_atom": 131,
  "density_g_cm3": 7.84,
  "lattice": [[9.1832, 0.0000, 0.0000], [0.0000, 9.1832, 0.0000], [0.0000, 0.0000, 3.6016]],
  "species": ["Pb", "Pb", "Pb", "Pb", "Zn", "Zn", "Sn", "Sn", "Sn", "Sn"],
  "fractional_positions": [[0.3441, 0.8441, 0.0000], [0.8441, 0.6559, 0.0000], [0.6559, 0.1559, 0.0000], [0.1559, 0.3441, 0.0000], [0.0000, 0.0000, 0.0000], [0.5000, 0.5000, 0.0000], [0.1406, 0.6406, 0.5000], [0.6406, 0.8594, 0.5000], [0.8594, 0.3594, 0.5000], [0.3594, 0.1406, 0.5000]]
}